The following is a DFT calculation (GGA-PBE) of an optimized crystal structure of Np2Be4AlSi3.

a = 3.873 Å, b = 3.873 Å, c = 9.608 Å
α = 90.00°, β = 90.00°, γ = 90.00°
Positions (direct):
Be 0.500 0.000 0.639
Be 0.000 0.000 0.000
Be 0.000 0.500 0.361
Be 0.500 0.500 0.000
Si 0.000 0.000 0.500
Si 0.500 0.000 0.870
Si 0.000 0.500 0.130
Al 0.500 0.500 0.500
Np 0.000 0.500 0.756
Np 0.500 0.000 0.244

Values from the calculation:
ΔE_f (raw) in meV per atom: -185
Space-group type: No. 115
Size of the total moment in μB per atom: 0.8264